Below is a relaxed structure of KSi4O8, with properties calculated at the PBE level.

Cell: 5.4318 5.4318 8.1665 Å, 90.00 90.00 120.00°
Space group P-31m (No. 162)
Symmetry-distinct sites (fractional):
K (0.0000, 0.0000, 0.0000) (multiplicity 1)
Si (0.3333, 0.6667, 0.2040) (multiplicity 4)
O (0.0000, 0.4847, 0.7342) (multiplicity 6)
O (0.3333, 0.6667, 0.0000) (multiplicity 2)

Values from the calculation:
**D(E_F)**: 1.860 states/eV/f.u.
**Uncorrected energy**: -93.94 eV/cell


Below is a relaxed structure of K4SiO4, with properties calculated at the PBE level.

Cell: 10.472 6.511 10.471 Å, 90.00 112.16 90.00°
Space group P2_1/c (No. 14)
Symmetry-distinct sites (fractional):
K (0.060, 0.094, 0.195) (multiplicity 4)
K (0.158, 0.611, 0.087) (multiplicity 4)
K (0.366, 0.662, 0.890) (multiplicity 4)
K (0.427, 0.184, 0.797) (multiplicity 4)
Si (0.243, 0.131, 0.991) (multiplicity 4)
O (0.091, 0.239, 0.969) (multiplicity 4)
O (0.223, 0.502, 0.349) (multiplicity 4)
O (0.297, 0.522, 0.630) (multiplicity 4)
O (0.360, 0.182, 0.516) (multiplicity 4)

Values from the calculation:
**D(E_F)**: 0.000 states/eV/f.u.
**Uncorrected energy**: -191.21 eV/cell


Below is a relaxed structure of KSiO2, with properties calculated at the PBE level.

Cell: 7.497 4.194 12.290 Å, 90.00 120.81 90.00°
Space group P2/c (No. 13)
Symmetry-distinct sites (fractional):
K (0.180, 0.211, 0.140) (multiplicity 4)
Si (0.423, 0.257, 0.506) (multiplicity 4)
O (0.226, 0.299, 0.521) (multiplicity 4)
O (0.393, 0.005, 0.386) (multiplicity 4)

Values from the calculation:
**D(E_F)**: 0.000 states/eV/f.u.
**Uncorrected energy**: -100.34 eV/cell


Below is a relaxed structure of K2SiO4, with properties calculated at the PBE level.

Cell: 3.750 3.750 13.463 Å, 90.00 90.00 90.00°
Space group I4/mmm (No. 139)
Symmetry-distinct sites (fractional):
K (0.000, 0.000, 0.157) (multiplicity 4)
Si (0.000, 0.000, 0.500) (multiplicity 2)
O (0.000, 0.000, 0.373) (multiplicity 4)
O (0.000, 0.500, 0.000) (multiplicity 4)

Values from the calculation:
**D(E_F)**: 3.377 states/eV/f.u.
**Uncorrected energy**: -77.64 eV/cell